[1]
Computed, not measured: Mg2BiCl2 after structural relaxation at the PBE level of DFT. Values from VASP.

Output
E = -14.53 eV/f.u.
formation energy without anion corrections = -0.753 eV/atom
space-group type = I4/mmm (139)
Fermi-level density of states = 1.04 states/eV/f.u.

```
&SYSTEM
  ibrav = 0, nat = 5, ntyp = 3
/
ATOMIC_SPECIES
Mg 24.30 Mg.upf
Bi 208.98 Bi.upf
Cl 35.45 Cl.upf
CELL_PARAMETERS angstrom
-0.904 -3.999 1.165
3.093 0.154 2.928
-3.377 0.428 6.647
ATOMIC_POSITIONS angstrom
Mg -0.155 -1.266 3.332
Mg -1.033 -2.151 7.408
Bi 0.000 0.000 0.000
Cl -1.593 -2.747 4.929
Cl 0.406 -0.670 5.811
```

[2]
Computed, not measured: LaNd5Al6 after structural relaxation at the PBE level of DFT. Values from VASP.

Output
E = -55.45 eV/f.u.
space-group type = Immm (71)
Fermi-level density of states = 3.80 states/eV/f.u.

```
&SYSTEM
  ibrav = 0, nat = 12, ntyp = 3
/
ATOMIC_SPECIES
Al 26.98 Al.upf
Nd 144.24 Nd.upf
La 138.91 La.upf
CELL_PARAMETERS angstrom
5.079 0.022 -1.481
-1.027 6.573 -3.423
-0.087 0.490 9.144
ATOMIC_POSITIONS angstrom
Al 2.271 1.728 -1.634
Al 3.573 4.127 2.855
Al 0.392 2.958 1.385
Al -0.109 6.172 -0.288
Al 4.074 0.913 4.529
Al 1.781 4.867 -3.269
Nd 1.283 2.507 4.429
Nd -0.513 3.286 -1.711
Nd 3.169 1.241 1.433
Nd 0.796 5.844 2.808
Nd 2.682 4.578 -0.189
La 0.000 0.000 0.000
```

[3]
Computed, not measured: USF after structural relaxation at the PBE level of DFT. Values from VASP.

Output
E = -23.93 eV/f.u.
formation energy without anion corrections = -2.216 eV/atom
space-group type = P-6m2 (187)
Fermi-level density of states = 9.08 states/eV/f.u.

```
&SYSTEM
  ibrav = 0, nat = 3, ntyp = 3
/
ATOMIC_SPECIES
U 238.03 U.upf
F 19.00 F.upf
S 32.06 S.upf
CELL_PARAMETERS angstrom
3.698 0.000 0.000
0.000 4.082 0.000
0.000 -2.041 3.535
ATOMIC_POSITIONS angstrom
U 0.616 0.000 0.000
F 0.617 0.000 2.357
S 2.465 2.041 1.178
```

Question: What is the formula in the third record?
Answer: USF